Y2AlZnGa | GGA-PBE | relaxed

V = 22.188 Å³/atom
ΔH_f (0 K) = -2.2 eV/f.u.
Magnetic moment = 0.000 μB per atom
Energy relative to the lowest polymorph listed for this composition = 0.00 eV per formula unit
SG = P2_1/m

CIF file:
```
data_Y2AlZnGa
_cell_length_a 4.405
_cell_length_b 7.192
_cell_length_c 7.346
_cell_angle_alpha 107.57
_cell_angle_beta 90.00
_cell_angle_gamma 90.00
_symmetry_space_group_name_H-M 'P 1'
_symmetry_Int_Tables_number 1
_symmetry_space_group_name_Hall 'P 1'
loop_
_atom_site_label
_atom_site_fract_x
_atom_site_fract_y
_atom_site_fract_z
_atom_site_occupancy
Y1 0.750 0.864 0.619 1
Y2 0.750 0.694 0.061 1
Y3 0.250 0.136 0.381 1
Y4 0.250 0.306 0.939 1
Al1 0.250 0.649 0.342 1
Al2 0.750 0.351 0.658 1
Zn1 0.250 0.908 0.933 1
Zn2 0.750 0.092 0.067 1
Ga1 0.250 0.570 0.693 1
Ga2 0.750 0.430 0.307 1
```

---

Y4AlZn2Ga | GGA-PBE | relaxed

V = 23.094 Å³/atom
ΔH_f (0 K) = -3.6 eV/f.u.
Magnetic moment = 0.000 μB per atom
SG = R-3m

CIF file:
```
data_Y4AlZn2Ga
_cell_length_a 5.071
_cell_length_b 5.071
_cell_length_c 8.797
_cell_angle_alpha 73.25
_cell_angle_beta 73.25
_cell_angle_gamma 60.00
_symmetry_space_group_name_H-M 'P 1'
_symmetry_Int_Tables_number 1
_symmetry_space_group_name_Hall 'P 1'
loop_
_atom_site_label
_atom_site_fract_x
_atom_site_fract_y
_atom_site_fract_z
_atom_site_occupancy
Y1 0.376 0.376 0.871 1
Y2 0.874 0.874 0.378 1
Y3 0.126 0.126 0.622 1
Y4 0.624 0.624 0.129 1
Al1 0.000 0.000 0.000 1
Zn1 0.747 0.747 0.759 1
Zn2 0.253 0.253 0.241 1
Ga1 0.500 0.500 0.500 1
```

---

YAlZn6Ga | GGA-PBE | relaxed

V = 20.178 Å³/atom
ΔH_f (0 K) = 1.3 eV/f.u.
Magnetic moment = 0.000 μB per atom
SG = Imma

CIF file:
```
data_YAlZn6Ga
_cell_length_a 5.422
_cell_length_b 9.844
_cell_length_c 8.825
_cell_angle_alpha 123.90
_cell_angle_beta 107.89
_cell_angle_gamma 90.00
_symmetry_space_group_name_H-M 'P 1'
_symmetry_Int_Tables_number 1
_symmetry_space_group_name_Hall 'P 1'
loop_
_atom_site_label
_atom_site_fract_x
_atom_site_fract_y
_atom_site_fract_z
_atom_site_occupancy
Y1 0.821 0.571 0.642 1
Y2 0.179 0.429 0.358 1
Al1 0.500 0.000 0.500 1
Al2 0.000 0.000 0.500 1
Zn1 0.416 0.666 0.832 1
Zn2 0.946 0.196 0.891 1
Zn3 0.911 0.137 0.310 1
Zn4 0.400 0.673 0.310 1
Zn5 0.400 0.137 0.310 1
Zn6 0.911 0.673 0.310 1
Zn7 0.584 0.334 0.168 1
Zn8 0.054 0.804 0.109 1
Zn9 0.089 0.863 0.690 1
Zn10 0.600 0.327 0.690 1
Zn11 0.600 0.863 0.690 1
Zn12 0.089 0.327 0.690 1
Ga1 0.500 0.500 0.000 1
Ga2 0.500 0.000 0.000 1
```

---

YbAl2Ga2 | GGA-PBE | relaxed

V = 19.700 Å³/atom
ΔH_f (0 K) = -1.9 eV/f.u.
Magnetic moment = 0.000 μB per atom
SG = I4/mmm

CIF file:
```
data_YbAl2Ga2
_cell_length_a 6.268
_cell_length_b 6.268
_cell_length_c 6.268
_cell_angle_alpha 140.57
_cell_angle_beta 140.57
_cell_angle_gamma 56.99
_symmetry_space_group_name_H-M 'P 1'
_symmetry_Int_Tables_number 1
_symmetry_space_group_name_Hall 'P 1'
loop_
_atom_site_label
_atom_site_fract_x
_atom_site_fract_y
_atom_site_fract_z
_atom_site_occupancy
Yb1 0.000 0.000 0.000 1
Al1 0.750 0.250 0.500 1
Al2 0.250 0.750 0.500 1
Ga1 0.612 0.612 0.000 1
Ga2 0.388 0.388 0.000 1
```

---

YbAlGa | GGA-PBE | relaxed

V = 20.908 Å³/atom
ΔH_f (0 K) = -1.5 eV/f.u.
Magnetic moment = 0.050 μB per atom
SG = P6_3/mmc

CIF file:
```
data_YbAlGa
_cell_length_a 4.512
_cell_length_b 4.512
_cell_length_c 7.114
_cell_angle_alpha 90.00
_cell_angle_beta 90.00
_cell_angle_gamma 120.00
_symmetry_space_group_name_H-M 'P 1'
_symmetry_Int_Tables_number 1
_symmetry_space_group_name_Hall 'P 1'
loop_
_atom_site_label
_atom_site_fract_x
_atom_site_fract_y
_atom_site_fract_z
_atom_site_occupancy
Yb1 0.000 0.000 0.500 1
Yb2 0.000 0.000 0.000 1
Al1 0.333 0.667 0.250 1
Al2 0.667 0.333 0.750 1
Ga1 0.333 0.667 0.750 1
Ga2 0.667 0.333 0.250 1
```

---

Al3Zn2Ga6 | GGA-PBE | relaxed

V = 17.785 Å³/atom
ΔH_f (0 K) = 0.5 eV/f.u.
Magnetic moment = 0.000 μB per atom
SG = R-3m

CIF file:
```
data_Al3Zn2Ga6
_cell_length_a 3.203
_cell_length_b 3.203
_cell_length_c 22.101
_cell_angle_alpha 85.84
_cell_angle_beta 85.84
_cell_angle_gamma 60.00
_symmetry_space_group_name_H-M 'P 1'
_symmetry_Int_Tables_number 1
_symmetry_space_group_name_Hall 'P 1'
loop_
_atom_site_label
_atom_site_fract_x
_atom_site_fract_y
_atom_site_fract_z
_atom_site_occupancy
Al1 0.000 0.000 0.000 1
Al2 0.728 0.728 0.817 1
Al3 0.272 0.272 0.183 1
Zn1 0.546 0.546 0.363 1
Zn2 0.454 0.454 0.637 1
Ga1 0.909 0.909 0.274 1
Ga2 0.091 0.091 0.726 1
Ga3 0.818 0.818 0.547 1
Ga4 0.182 0.182 0.453 1
Ga5 0.636 0.636 0.091 1
Ga6 0.364 0.364 0.909 1
```

---

Al6Zn5Ga | GGA-PBE | relaxed

V = 16.160 Å³/atom
ΔH_f (0 K) = 0.3 eV/f.u.
Magnetic moment = 0.000 μB per atom
Energy relative to the lowest polymorph listed for this composition = 0.07 eV per formula unit
SG = P-1

CIF file:
```
data_Al6Zn5Ga
_cell_length_a 4.770
_cell_length_b 7.405
_cell_length_c 7.105
_cell_angle_alpha 88.77
_cell_angle_beta 89.19
_cell_angle_gamma 50.62
_symmetry_space_group_name_H-M 'P 1'
_symmetry_Int_Tables_number 1
_symmetry_space_group_name_Hall 'P 1'
loop_
_atom_site_label
_atom_site_fract_x
_atom_site_fract_y
_atom_site_fract_z
_atom_site_occupancy
Zn1 0.833 0.500 0.332 1
Zn2 0.663 0.000 0.665 1
Zn3 0.500 0.500 0.000 1
Zn4 0.337 0.000 0.335 1
Zn5 0.167 0.500 0.668 1
Al1 0.417 0.749 0.665 1
Al2 0.917 0.250 0.664 1
Al3 0.248 0.252 0.000 1
Al4 0.752 0.748 0.000 1
Al5 0.083 0.750 0.336 1
Al6 0.583 0.251 0.335 1
Ga1 0.000 0.000 0.000 1
```

---

AlZn2Ga2 | GGA-PBE | relaxed

V = 18.039 Å³/atom
ΔH_f (0 K) = 0.6 eV/f.u.
Magnetic moment = 0.000 μB per atom
Energy relative to the lowest polymorph listed for this composition = 0.18 eV per formula unit
SG = I4/mmm

CIF file:
```
data_AlZn2Ga2
_cell_length_a 3.896
_cell_length_b 3.896
_cell_length_c 6.549
_cell_angle_alpha 72.69
_cell_angle_beta 72.69
_cell_angle_gamma 90.00
_symmetry_space_group_name_H-M 'P 1'
_symmetry_Int_Tables_number 1
_symmetry_space_group_name_Hall 'P 1'
loop_
_atom_site_label
_atom_site_fract_x
_atom_site_fract_y
_atom_site_fract_z
_atom_site_occupancy
Zn1 0.399 0.399 0.202 1
Zn2 0.601 0.601 0.798 1
Al1 0.000 0.000 0.000 1
Ga1 0.750 0.250 0.500 1
Ga2 0.250 0.750 0.500 1
```

---

Al3Zn2Ga4 | GGA-PBE | relaxed

V = 17.822 Å³/atom
ΔH_f (0 K) = 0.5 eV/f.u.
Magnetic moment = 0.000 μB per atom
Energy relative to the lowest polymorph listed for this composition = 0.13 eV per formula unit
SG = C2/c

CIF file:
```
data_Al3Zn2Ga4
_cell_length_a 5.659
_cell_length_b 8.263
_cell_length_c 8.263
_cell_angle_alpha 70.33
_cell_angle_beta 67.32
_cell_angle_gamma 67.32
_symmetry_space_group_name_H-M 'P 1'
_symmetry_Int_Tables_number 1
_symmetry_space_group_name_Hall 'P 1'
loop_
_atom_site_label
_atom_site_fract_x
_atom_site_fract_y
_atom_site_fract_z
_atom_site_occupancy
Al1 0.013 0.128 0.068 1
Al2 0.487 0.932 0.872 1
Al3 0.987 0.872 0.932 1
Al4 0.513 0.068 0.128 1
Al5 0.750 0.505 0.495 1
Al6 0.250 0.495 0.505 1
Zn1 0.551 0.358 0.193 1
Zn2 0.949 0.807 0.642 1
Zn3 0.449 0.642 0.807 1
Zn4 0.051 0.193 0.358 1
Ga1 0.464 0.307 0.806 1
Ga2 0.036 0.194 0.693 1
Ga3 0.536 0.693 0.194 1
Ga4 0.964 0.806 0.307 1
Ga5 0.085 0.519 0.132 1
Ga6 0.415 0.868 0.481 1
Ga7 0.915 0.481 0.868 1
Ga8 0.585 0.132 0.519 1
```

---

Al3Zn4Ga12 | GGA-PBE | relaxed

V = 23.753 Å³/atom
ΔH_f (0 K) = 3.2 eV/f.u.
Magnetic moment = 0.000 μB per atom
SG = Im-3

CIF file:
```
data_Al3Zn4Ga12
_cell_length_a 8.370
_cell_length_b 8.370
_cell_length_c 8.370
_cell_angle_alpha 109.47
_cell_angle_beta 109.47
_cell_angle_gamma 109.47
_symmetry_space_group_name_H-M 'P 1'
_symmetry_Int_Tables_number 1
_symmetry_space_group_name_Hall 'P 1'
loop_
_atom_site_label
_atom_site_fract_x
_atom_site_fract_y
_atom_site_fract_z
_atom_site_occupancy
Al1 0.500 0.000 0.500 1
Al2 0.500 0.500 0.000 1
Al3 0.000 0.500 0.500 1
Zn1 0.000 0.000 0.500 1
Zn2 0.500 0.500 0.500 1
Zn3 0.500 0.000 0.000 1
Zn4 0.000 0.500 0.000 1
Ga1 0.644 0.392 0.748 1
Ga2 0.356 0.608 0.252 1
Ga3 0.356 0.104 0.748 1
Ga4 0.392 0.748 0.644 1
Ga5 0.748 0.356 0.104 1
Ga6 0.252 0.356 0.608 1
Ga7 0.104 0.748 0.356 1
Ga8 0.252 0.644 0.896 1
Ga9 0.644 0.896 0.252 1
Ga10 0.608 0.252 0.356 1
Ga11 0.748 0.644 0.392 1
Ga12 0.896 0.252 0.644 1
```

---

Al4Zn7Ga | GGA-PBE | relaxed

V = 15.909 Å³/atom
ΔH_f (0 K) = 0.2 eV/f.u.
Magnetic moment = 0.000 μB per atom
SG = P-3m1

CIF file:
```
data_Al4Zn7Ga
_cell_length_a 2.904
_cell_length_b 2.904
_cell_length_c 26.135
_cell_angle_alpha 90.00
_cell_angle_beta 90.00
_cell_angle_gamma 120.00
_symmetry_space_group_name_H-M 'P 1'
_symmetry_Int_Tables_number 1
_symmetry_space_group_name_Hall 'P 1'
loop_
_atom_site_label
_atom_site_fract_x
_atom_site_fract_y
_atom_site_fract_z
_atom_site_occupancy
Al1 0.333 0.667 0.917 1
Al2 0.667 0.333 0.083 1
Al3 0.333 0.667 0.668 1
Al4 0.667 0.333 0.332 1
Zn1 0.000 0.000 0.000 1
Zn2 0.333 0.667 0.415 1
Zn3 0.667 0.333 0.585 1
Zn4 0.333 0.667 0.167 1
Zn5 0.667 0.333 0.833 1
Zn6 0.000 0.000 0.751 1
Zn7 0.000 0.000 0.249 1
Ga1 0.000 0.000 0.500 1
```

---

Al4ZnGa3 | GGA-PBE | relaxed

V = 17.014 Å³/atom
ΔH_f (0 K) = 0.3 eV/f.u.
Magnetic moment = 0.000 μB per atom
Energy relative to the lowest polymorph listed for this composition = 0.00 eV per formula unit
SG = Pm

CIF file:
```
data_Al4ZnGa3
_cell_length_a 5.933
_cell_length_b 8.239
_cell_length_c 5.576
_cell_angle_alpha 87.07
_cell_angle_beta 90.00
_cell_angle_gamma 90.00
_symmetry_space_group_name_H-M 'P 1'
_symmetry_Int_Tables_number 1
_symmetry_space_group_name_Hall 'P 1'
loop_
_atom_site_label
_atom_site_fract_x
_atom_site_fract_y
_atom_site_fract_z
_atom_site_occupancy
Zn1 0.000 0.815 0.499 1
Zn2 0.500 0.314 0.501 1
Al1 0.000 0.315 0.000 1
Al2 0.000 0.314 0.501 1
Al3 0.250 0.063 0.247 1
Al4 0.250 0.566 0.752 1
Al5 0.500 0.814 0.499 1
Al6 0.500 0.814 0.000 1
Al7 0.750 0.566 0.752 1
Al8 0.750 0.063 0.247 1
Ga1 0.000 0.814 0.000 1
Ga2 0.251 0.065 0.744 1
Ga3 0.251 0.564 0.256 1
Ga4 0.500 0.315 0.000 1
Ga5 0.749 0.564 0.256 1
Ga6 0.749 0.065 0.744 1
```

---

Which value of V does entry 2 give? 23.094 Å³/atom

---

Which of these has the lowest ΔH_f (0 K)? Y4AlZn2Ga

---

Which value of ΔH_f (0 K) does entry 7 give? 0.3 eV/f.u.

---

Among the records above, which one has the highest magnetic moment? YbAlGa